Entry 1:
The following is a DFT calculation (PBE) of a geometry-optimized ZrTiPd structure.

Structure (POSCAR):
```
ZrTiPd
1.0
-1.598 1.598 5.351
1.598 -1.598 5.351
1.598 1.598 -5.351
Zr Ti Pd
1 1 1
Cartesian
0.000 0.000 0.000
0.000 0.000 7.283
0.000 0.000 3.425
```

Summary:
As for the total energy: -7.66 eV per atom. The value obtained for the energy of formation from the pure elements is -1.34 eV per formula unit.

***

Entry 2:
The following is a DFT calculation (PBE) of a geometry-optimized Al3Se structure.

Structure (POSCAR):
```
Al3Se
1.0
-1.645 2.365 4.691
1.645 -2.365 4.691
1.645 2.365 -4.691
Al Se
3 1
Cartesian
0.000 0.000 0.000
1.645 0.000 2.480
0.000 2.365 2.211
0.000 0.000 4.691
```

Summary:
As for the total energy: -3.66 eV per atom. The value obtained for the raw formation energy is 0.020 eV/atom.

***

Entry 3:
The following is a DFT calculation (PBE) of a geometry-optimized RbVICl4 structure.

Structure (POSCAR):
```
RbVICl4
1.0
8.764 -3.806 0.000
8.764 3.806 0.000
-3.059 0.000 7.991
Rb V I Cl
2 2 2 8
Cartesian
2.262 0.000 1.900
12.207 0.000 6.090
0.485 0.000 5.830
13.984 0.000 2.161
5.699 0.000 6.644
8.769 0.000 1.347
-1.625 0.000 6.570
4.734 2.004 3.409
1.795 0.000 7.630
9.734 2.004 4.582
4.734 -2.004 3.409
12.673 0.000 0.361
9.734 -2.004 4.582
16.094 0.000 1.421
```

Summary:
As for the total energy: -3.94 eV per atom. The value obtained for the raw formation energy is -1.227 eV/atom.

***

Entry 4:
The following is a DFT calculation (PBE) of a geometry-optimized Zn4Cu15Sn structure.

Structure (POSCAR):
```
Zn4Cu15Sn
1.0
3.726 0.000 0.000
0.000 3.726 0.000
0.000 0.000 18.515
Zn Cu Sn
4 15 1
Cartesian
0.000 0.000 1.802
0.000 0.000 5.418
0.000 0.000 13.097
0.000 0.000 16.713
0.000 1.863 0.000
0.000 1.863 3.609
0.000 1.863 7.238
0.000 1.863 11.276
0.000 1.863 14.906
1.863 0.000 0.000
1.863 0.000 3.609
1.863 0.000 7.238
1.863 0.000 11.276
1.863 0.000 14.906
1.863 1.863 1.802
1.863 1.863 5.425
1.863 1.863 9.257
1.863 1.863 13.089
1.863 1.863 16.712
0.000 0.000 9.257
```

Summary:
As for the total energy: -3.57 eV per atom. The value obtained for the energy of formation from the pure elements is -0.91 eV per formula unit.

***

Entry 5:
The following is a DFT calculation (PBE) of a geometry-optimized LiLaSmAl structure.

Structure (POSCAR):
```
LiLaSmAl
1.0
0.000 3.771 3.771
3.771 0.000 3.771
3.771 3.771 0.000
Li La Sm Al
1 1 1 1
Cartesian
0.000 0.000 0.000
5.656 5.656 5.656
1.885 1.885 1.885
3.771 3.771 3.771
```

Summary:
As for the total energy: -4.02 eV per atom. The value obtained for the energy of formation from the pure elements is -0.76 eV per formula unit.